No. 1
# GGA-PBE TeAs2Pb, optimized geometry
data_TeAs2Pb
_cell_length_a 3.894
_cell_length_b 5.453
_cell_length_c 9.614
_cell_angle_alpha 90.00
_cell_angle_beta 90.00
_cell_angle_gamma 90.00
_symmetry_space_group_name_H-M 'P 1'
_symmetry_Int_Tables_number 1
_symmetry_space_group_name_Hall 'P 1'
loop_
_atom_site_label
_atom_site_type_symbol
_atom_site_fract_x
_atom_site_fract_y
_atom_site_fract_z
Te1 Te 0.000 0.000 0.000
Te2 Te 0.500 0.500 0.500
As1 As 0.000 0.500 0.278
As2 As 0.000 0.500 0.722
As3 As 0.500 0.000 0.222
As4 As 0.500 0.000 0.778
Pb1 Pb 0.000 0.000 0.500
Pb2 Pb 0.500 0.500 0.000
# DOS(E_F)   5.1 states/eV per cell
# Spin magnetization   0.000 μB per atom
# Symmetry   Immm, No. 71
# Formation energy from raw total energies   0.27 eV per atom

---

No. 2
# GGA-PBE Sc2TlWC, optimized geometry
data_Sc2TlWC
_cell_length_a 4.603
_cell_length_b 4.603
_cell_length_c 4.131
_cell_angle_alpha 90.00
_cell_angle_beta 90.00
_cell_angle_gamma 90.00
_symmetry_space_group_name_H-M 'P 1'
_symmetry_Int_Tables_number 1
_symmetry_space_group_name_Hall 'P 1'
loop_
_atom_site_label
_atom_site_type_symbol
_atom_site_fract_x
_atom_site_fract_y
_atom_site_fract_z
Sc1 Sc 0.000 0.500 0.000
Sc2 Sc 0.500 0.000 0.000
Tl1 Tl 0.000 0.000 0.500
W1 W 0.500 0.500 0.500
C1 C 0.500 0.500 0.000
# Formation enthalpy at 0 K   -0.26 eV/atom
# DOS(E_F)   2.6 states/eV per cell
# Spin magnetization   0.000 μB per atom
# Symmetry   P4/mmm, No. 123

---

No. 3
# GGA-PBE P2Os, optimized geometry
data_P2Os
_cell_length_a 11.287
_cell_length_b 3.011
_cell_length_c 6.065
_cell_angle_alpha 90.00
_cell_angle_beta 120.32
_cell_angle_gamma 90.00
_symmetry_space_group_name_H-M 'P 1'
_symmetry_Int_Tables_number 1
_symmetry_space_group_name_Hall 'P 1'
loop_
_atom_site_label
_atom_site_type_symbol
_atom_site_fract_x
_atom_site_fract_y
_atom_site_fract_z
P1 P 0.072 0.000 0.271
P2 P 0.128 0.500 0.833
P3 P 0.372 0.000 0.167
P4 P 0.428 0.500 0.729
P5 P 0.572 0.500 0.271
P6 P 0.628 0.000 0.833
P7 P 0.872 0.500 0.167
P8 P 0.928 0.000 0.729
Os1 Os 0.247 0.500 0.295
Os2 Os 0.253 0.000 0.705
Os3 Os 0.747 0.000 0.295
Os4 Os 0.753 0.500 0.705
# Formation enthalpy at 0 K   -0.12 eV/atom
# DOS(E_F)   5.4 states/eV per cell
# Spin magnetization   0.000 μB per atom
# Symmetry   C2/m, No. 12

---

No. 4
# GGA-PBE LaTaCr2, optimized geometry
data_LaTaCr2
_cell_length_a 7.190
_cell_length_b 7.190
_cell_length_c 5.816
_cell_angle_alpha 90.00
_cell_angle_beta 90.00
_cell_angle_gamma 90.00
_symmetry_space_group_name_H-M 'P 1'
_symmetry_Int_Tables_number 1
_symmetry_space_group_name_Hall 'P 1'
loop_
_atom_site_label
_atom_site_type_symbol
_atom_site_fract_x
_atom_site_fract_y
_atom_site_fract_z
La1 La 0.000 0.000 0.000
La2 La 0.000 0.500 0.250
La3 La 0.500 0.000 0.750
La4 La 0.500 0.500 0.500
Ta1 Ta 0.000 0.000 0.500
Ta2 Ta 0.000 0.500 0.750
Ta3 Ta 0.500 0.000 0.250
Ta4 Ta 0.500 0.500 0.000
Cr1 Cr 0.227 0.250 0.625
Cr2 Cr 0.250 0.727 0.875
Cr3 Cr 0.250 0.773 0.375
Cr4 Cr 0.273 0.250 0.125
Cr5 Cr 0.727 0.750 0.125
Cr6 Cr 0.750 0.227 0.375
Cr7 Cr 0.750 0.273 0.875
Cr8 Cr 0.773 0.750 0.625
# Formation enthalpy at 0 K   1.10 eV/atom
# DOS(E_F)   35.1 states/eV per cell
# Spin magnetization   0.000 μB per atom
# Symmetry   I-42d, No. 122